Compound: Mn3ReNi
Source: the Alexandria database
Functional: GGA-PBE
Structure: optimized geometry

```
Mn3ReNi
1.0
4.5528 0.0000 0.0000
0.0000 4.5528 0.0000
0.0000 0.0000 4.5528
Mn Re Ni
3 1 1
Direct
0.0000 0.0000 0.5000
0.0000 0.5000 0.0000
0.5000 0.0000 0.0000
0.0000 0.0000 0.0000
0.5000 0.5000 0.5000
```

Values from the calculation:
- magnetic moment (μB per cell) = 8.689
- uncorrected energy (eV/atom) = -7.63
- ΔE_f (eV per formula unit) = 7.58

Compound: SiSbWI2
Source: the Alexandria database
Functional: GGA-PBE
Structure: optimized geometry

```
SiSbWI2
1.0
5.3131 0.0000 0.0000
0.0000 5.3131 0.0000
0.0000 0.0000 5.4972
Si Sb W I
1 1 1 2
Direct
0.0000 0.0000 0.0000
0.0000 0.0000 0.5000
0.5000 0.5000 0.5000
0.0000 0.5000 0.0000
0.5000 0.0000 0.0000
```

Values from the calculation:
- magnetic moment (μB per cell) = 3.608
- energy relative to the elements, uncorrected (meV/atom) = 1527
- uncorrected energy (eV/atom) = -3.59

- Among the records above, which one has the highest magnetic moment?
  Mn3ReNi

- Which value of magnetic moment does entry 1 give?
  8.689 μB per cell

What did the first record say?
Compound: Mn3ReNi
Source: the Alexandria database
Functional: GGA-PBE
Structure: optimized geometry

```
Mn3ReNi
1.0
4.5528 0.0000 0.0000
0.0000 4.5528 0.0000
0.0000 0.0000 4.5528
Mn Re Ni
3 1 1
Direct
0.0000 0.0000 0.5000
0.0000 0.5000 0.0000
0.5000 0.0000 0.0000
0.0000 0.0000 0.0000
0.5000 0.5000 0.5000
```

Values from the calculation:
- magnetic moment (μB per cell) = 8.689
- uncorrected energy (eV/atom) = -7.63
- ΔE_f (eV per formula unit) = 7.58

- The highest magnetic moment belongs to which entry?
  Mn3ReNi